1.
# CsSrPt3 (SCAN, PBEsol geometry)
data_CsSrPt3
_symmetry_space_group_name_H-M 'P m -3 m'
_symmetry_Int_Tables_number 221
_symmetry_space_group_name_Hall '-P 4 2 3'
_cell_length_a 5.380
_cell_length_b 5.380
_cell_length_c 5.380
_cell_angle_alpha 90.00
_cell_angle_beta 90.00
_cell_angle_gamma 90.00
loop_
_atom_site_label
_atom_site_fract_x
_atom_site_fract_y
_atom_site_fract_z
_atom_site_occupancy
Cs1 0.000 0.000 0.000 1
Sr1 0.500 0.500 0.500 1
Pt1 0.000 0.500 0.500 1
# - Magnetization: 0.0 μB/cell

***

2.
# CsSrPt3 (SCAN, PBEsol geometry)
data_CsSrPt3
_symmetry_space_group_name_H-M 'P m -3 m'
_symmetry_Int_Tables_number 221
_symmetry_space_group_name_Hall '-P 4 2 3'
_cell_length_a 5.196
_cell_length_b 5.196
_cell_length_c 5.196
_cell_angle_alpha 90.00
_cell_angle_beta 90.00
_cell_angle_gamma 90.00
loop_
_atom_site_label
_atom_site_fract_x
_atom_site_fract_y
_atom_site_fract_z
_atom_site_occupancy
Cs1 0.000 0.000 0.000 1
Sr1 0.500 0.500 0.500 1
Pt1 0.000 0.000 0.500 1
# - Magnetization: 0.0 μB/cell

***

Result of the stability comparison: 2 is the least stable of them.

***

1.
# Cs3RbS (SCAN, PBEsol geometry)
data_Cs3RbS
_symmetry_space_group_name_H-M 'P m -3 m'
_symmetry_Int_Tables_number 221
_symmetry_space_group_name_Hall '-P 4 2 3'
_cell_length_a 6.883
_cell_length_b 6.883
_cell_length_c 6.883
_cell_angle_alpha 90.00
_cell_angle_beta 90.00
_cell_angle_gamma 90.00
loop_
_atom_site_label
_atom_site_fract_x
_atom_site_fract_y
_atom_site_fract_z
_atom_site_occupancy
Cs1 0.000 0.000 0.500 1
Rb1 0.500 0.500 0.500 1
S1 0.000 0.000 0.000 1
# - Magnetization: 0.0 μB/cell

***

2.
# Cs3RbS (SCAN, PBEsol geometry)
data_Cs3RbS
_symmetry_space_group_name_H-M 'P m -3 m'
_symmetry_Int_Tables_number 221
_symmetry_space_group_name_Hall '-P 4 2 3'
_cell_length_a 7.509
_cell_length_b 7.509
_cell_length_c 7.509
_cell_angle_alpha 90.00
_cell_angle_beta 90.00
_cell_angle_gamma 90.00
loop_
_atom_site_label
_atom_site_fract_x
_atom_site_fract_y
_atom_site_fract_z
_atom_site_occupancy
Cs1 0.000 0.000 0.500 1
Rb1 0.000 0.000 0.000 1
S1 0.500 0.500 0.500 1
# - Magnetization: 0.0 μB/cell

***

Result of the stability comparison: 2 is the least stable of them.

***

1.
# Cs3RbTe (SCAN, PBEsol geometry)
data_Cs3RbTe
_symmetry_space_group_name_H-M 'P m -3 m'
_symmetry_Int_Tables_number 221
_symmetry_space_group_name_Hall '-P 4 2 3'
_cell_length_a 7.400
_cell_length_b 7.400
_cell_length_c 7.400
_cell_angle_alpha 90.00
_cell_angle_beta 90.00
_cell_angle_gamma 90.00
loop_
_atom_site_label
_atom_site_fract_x
_atom_site_fract_y
_atom_site_fract_z
_atom_site_occupancy
Cs1 0.000 0.000 0.500 1
Rb1 0.500 0.500 0.500 1
Te1 0.000 0.000 0.000 1
# - Magnetization: 0.0 μB/cell

***

2.
# Cs3RbTe (SCAN, PBEsol geometry)
data_Cs3RbTe
_symmetry_space_group_name_H-M 'P m -3 m'
_symmetry_Int_Tables_number 221
_symmetry_space_group_name_Hall '-P 4 2 3'
_cell_length_a 7.536
_cell_length_b 7.536
_cell_length_c 7.536
_cell_angle_alpha 90.00
_cell_angle_beta 90.00
_cell_angle_gamma 90.00
loop_
_atom_site_label
_atom_site_fract_x
_atom_site_fract_y
_atom_site_fract_z
_atom_site_occupancy
Cs1 0.000 0.000 0.500 1
Rb1 0.000 0.000 0.000 1
Te1 0.500 0.500 0.500 1
# - Magnetization: 0.0 μB/cell

***

Result of the stability comparison: 2 is the least stable of them.

***

1.
# CsReTc3 (SCAN, PBEsol geometry)
data_CsReTc3
_symmetry_space_group_name_H-M 'P m -3 m'
_symmetry_Int_Tables_number 221
_symmetry_space_group_name_Hall '-P 4 2 3'
_cell_length_a 4.815
_cell_length_b 4.815
_cell_length_c 4.815
_cell_angle_alpha 90.00
_cell_angle_beta 90.00
_cell_angle_gamma 90.00
loop_
_atom_site_label
_atom_site_fract_x
_atom_site_fract_y
_atom_site_fract_z
_atom_site_occupancy
Cs1 0.000 0.000 0.000 1
Re1 0.500 0.500 0.500 1
Tc1 0.000 0.500 0.500 1
# - Magnetization: 4.3 μB/cell

***

2.
# CsReTc3 (SCAN, PBEsol geometry)
data_CsReTc3
_symmetry_space_group_name_H-M 'P m -3 m'
_symmetry_Int_Tables_number 221
_symmetry_space_group_name_Hall '-P 4 2 3'
_cell_length_a 4.699
_cell_length_b 4.699
_cell_length_c 4.699
_cell_angle_alpha 90.00
_cell_angle_beta 90.00
_cell_angle_gamma 90.00
loop_
_atom_site_label
_atom_site_fract_x
_atom_site_fract_y
_atom_site_fract_z
_atom_site_occupancy
Cs1 0.000 0.000 0.000 1
Re1 0.500 0.500 0.500 1
Tc1 0.000 0.000 0.500 1
# - Magnetization: 0.7 μB/cell

***

Result of the stability comparison: 2 is the least stable of them.

***

1.
# CsSnSe3 (SCAN, PBEsol geometry)
data_CsSnSe3
_symmetry_space_group_name_H-M 'P m -3 m'
_symmetry_Int_Tables_number 221
_symmetry_space_group_name_Hall '-P 4 2 3'
_cell_length_a 5.591
_cell_length_b 5.591
_cell_length_c 5.591
_cell_angle_alpha 90.00
_cell_angle_beta 90.00
_cell_angle_gamma 90.00
loop_
_atom_site_label
_atom_site_fract_x
_atom_site_fract_y
_atom_site_fract_z
_atom_site_occupancy
Cs1 0.000 0.000 0.000 1
Sn1 0.500 0.500 0.500 1
Se1 0.000 0.000 0.500 1
# - Magnetization: 0.0 μB/cell

***

2.
# CsSnSe3 (SCAN, PBEsol geometry)
data_CsSnSe3
_symmetry_space_group_name_H-M 'P -1'
_symmetry_Int_Tables_number 2
_symmetry_space_group_name_Hall '-P 1'
_cell_length_a 7.093
_cell_length_b 7.440
_cell_length_c 8.010
_cell_angle_alpha 99.63
_cell_angle_beta 115.37
_cell_angle_gamma 106.55
loop_
_atom_site_label
_atom_site_fract_x
_atom_site_fract_y
_atom_site_fract_z
_atom_site_occupancy
Cs1 0.224 0.195 0.346 1
Sn1 0.221 0.509 0.928 1
Se1 0.190 0.613 0.627 1
Se2 0.231 0.699 0.232 1
Se3 0.340 0.217 0.933 1
# - Magnetization: 0.0 μB/cell

***

Result of the stability comparison: 1 is the least stable of them.

***

1.
# CsTl2Te2 (SCAN, PBEsol geometry)
data_CsTl2Te2
_symmetry_space_group_name_H-M 'I 4/m m m'
_symmetry_Int_Tables_number 139
_symmetry_space_group_name_Hall '-I 4 2'
_cell_length_a 5.868
_cell_length_b 5.868
_cell_length_c 10.712
_cell_angle_alpha 90.00
_cell_angle_beta 90.00
_cell_angle_gamma 90.00
loop_
_atom_site_label
_atom_site_fract_x
_atom_site_fract_y
_atom_site_fract_z
_atom_site_occupancy
Cs1 0.000 0.000 0.000 1
Tl1 0.000 0.000 0.356 1
Te1 0.000 0.500 0.250 1
# - Magnetization: 0.0 μB/cell

***

2.
# CsTl2Te2 (SCAN, PBEsol geometry)
data_CsTl2Te2
_symmetry_space_group_name_H-M 'P 4/m b m'
_symmetry_Int_Tables_number 127
_symmetry_space_group_name_Hall '-P 4 2ab'
_cell_length_a 9.286
_cell_length_b 9.286
_cell_length_c 3.933
_cell_angle_alpha 90.00
_cell_angle_beta 90.00
_cell_angle_gamma 90.00
loop_
_atom_site_label
_atom_site_fract_x
_atom_site_fract_y
_atom_site_fract_z
_atom_site_occupancy
Cs1 0.000 0.000 0.000 1
Tl1 0.123 0.377 0.000 1
Te1 0.172 0.672 0.500 1
# - Magnetization: 0.0 μB/cell

***

Result of the stability comparison: 2 is the least stable of them.